VASP calculation (PBE) on a geometry-optimized Tl2HgRu structure. Values from VASP.

```
&SYSTEM
  ibrav = 0, nat = 8, ntyp = 3
/
ATOMIC_SPECIES
Tl 204.38 Tl.upf
Hg 200.59 Hg.upf
Ru 101.07 Ru.upf
CELL_PARAMETERS angstrom
6.2129 0.0000 0.0000
0.0000 8.1176 0.0000
-0.0100 0.0000 3.4377
ATOMIC_POSITIONS crystal
Tl 0.2500 0.2500 0.0000
Tl 0.2500 0.7500 0.0000
Tl 0.7500 0.2500 0.0000
Tl 0.7500 0.7500 0.0000
Hg 0.0000 0.0000 0.5000
Hg 0.5000 0.5000 0.5000
Ru 0.0000 0.5000 0.5000
Ru 0.5000 0.0000 0.5000
```

Values from the calculation:
- Density: 13.61 Mg/m³
- Total magnetic moment: 0.00 μB/f.u.
- Density of states at the Fermi level: 0.84 states/eV/atom
- SG: C2/m
- DFT formation energy: 573 meV/atom
- Relative energy among the computed polymorphs: 235 meV per atom

---

VASP calculation (PBE) on a geometry-optimized Tl2HgRu structure. Values from VASP.

```
&SYSTEM
  ibrav = 0, nat = 16, ntyp = 3
/
ATOMIC_SPECIES
Tl 204.38 Tl.upf
Hg 200.59 Hg.upf
Ru 101.07 Ru.upf
CELL_PARAMETERS angstrom
7.0815 0.0000 0.0000
0.0000 7.0815 0.0000
0.0000 0.0000 7.0815
ATOMIC_POSITIONS crystal
Tl 0.2500 0.2500 0.2500
Tl 0.2500 0.2500 0.7500
Tl 0.2500 0.7500 0.2500
Tl 0.2500 0.7500 0.7500
Tl 0.7500 0.2500 0.2500
Tl 0.7500 0.2500 0.7500
Tl 0.7500 0.7500 0.2500
Tl 0.7500 0.7500 0.7500
Hg 0.0000 0.0000 0.0000
Hg 0.0000 0.5000 0.5000
Hg 0.5000 0.0000 0.5000
Hg 0.5000 0.5000 0.0000
Ru 0.0000 0.0000 0.5000
Ru 0.0000 0.5000 0.0000
Ru 0.5000 0.0000 0.0000
Ru 0.5000 0.5000 0.5000
```

Values from the calculation:
- Density: 13.29 Mg/m³
- Total magnetic moment: 1.08 μB/f.u.
- Density of states at the Fermi level: 0.87 states/eV/atom
- SG: Fm-3m
- DFT formation energy: 674 meV/atom
- Relative energy among the computed polymorphs: 336 meV per atom

---

VASP calculation (PBE) on a geometry-optimized TlHgRu2 structure. Values from VASP.

```
&SYSTEM
  ibrav = 0, nat = 12, ntyp = 3
/
ATOMIC_SPECIES
Tl 204.38 Tl.upf
Hg 200.59 Hg.upf
Ru 101.07 Ru.upf
CELL_PARAMETERS angstrom
3.0509 0.0000 0.0000
-1.5254 2.6421 0.0000
0.0000 0.0000 26.7308
ATOMIC_POSITIONS crystal
Tl 0.0000 0.0000 0.0000
Tl 0.3333 0.6667 0.6667
Tl 0.6667 0.3333 0.3333
Hg 0.0000 0.0000 0.5000
Hg 0.3333 0.6667 0.1667
Hg 0.6667 0.3333 0.8333
Ru 0.0000 0.0000 0.2506
Ru 0.0000 0.0000 0.7494
Ru 0.3333 0.6667 0.4161
Ru 0.3333 0.6667 0.9173
Ru 0.6667 0.3333 0.0827
Ru 0.6667 0.3333 0.5839
```

Values from the calculation:
- Density: 14.04 Mg/m³
- Total magnetic moment: 0.88 μB/f.u.
- Density of states at the Fermi level: 1.25 states/eV/atom
- SG: R-3m
- DFT formation energy: 700 meV/atom
- Relative energy among the computed polymorphs: 325 meV per atom

---

VASP calculation (PBE) on a geometry-optimized TlHg4Ru structure. Values from VASP.

```
&SYSTEM
  ibrav = 0, nat = 6, ntyp = 3
/
ATOMIC_SPECIES
Tl 204.38 Tl.upf
Hg 200.59 Hg.upf
Ru 101.07 Ru.upf
CELL_PARAMETERS angstrom
0.0000 4.1421 4.1421
4.1421 0.0000 4.1421
4.1421 4.1421 0.0000
ATOMIC_POSITIONS crystal
Tl 0.0000 0.0000 0.0000
Hg 0.1274 0.6242 0.6242
Hg 0.6242 0.1274 0.6242
Hg 0.6242 0.6242 0.1274
Hg 0.6242 0.6242 0.6242
Ru 0.2500 0.2500 0.2500
```

Values from the calculation:
- Density: 12.94 Mg/m³
- Total magnetic moment: 1.50 μB/f.u.
- Density of states at the Fermi level: 1.16 states/eV/atom
- SG: F-43m
- DFT formation energy: 661 meV/atom

---

VASP calculation (PBE) on a geometry-optimized TlHgRu2 structure. Values from VASP.

```
&SYSTEM
  ibrav = 0, nat = 4, ntyp = 3
/
ATOMIC_SPECIES
Tl 204.38 Tl.upf
Hg 200.59 Hg.upf
Ru 101.07 Ru.upf
CELL_PARAMETERS angstrom
2.9453 0.0000 0.0000
0.0000 2.9453 0.0000
0.0000 0.0000 8.7929
ATOMIC_POSITIONS crystal
Tl 0.0000 0.0000 0.0000
Hg 0.5000 0.5000 0.3318
Ru 0.0000 0.0000 0.5712
Ru 0.5000 0.5000 0.7454
```

Values from the calculation:
- Density: 13.22 Mg/m³
- Total magnetic moment: 0.00 μB/f.u.
- Density of states at the Fermi level: 0.95 states/eV/atom
- SG: P4mm
- DFT formation energy: 375 meV/atom
- Relative energy among the computed polymorphs: 0 meV per atom

---

VASP calculation (PBE) on a geometry-optimized TlHgRu2 structure. Values from VASP.

```
&SYSTEM
  ibrav = 0, nat = 8, ntyp = 3
/
ATOMIC_SPECIES
Tl 204.38 Tl.upf
Hg 200.59 Hg.upf
Ru 101.07 Ru.upf
CELL_PARAMETERS angstrom
4.1274 0.0000 0.0000
0.0000 4.1274 0.0000
0.0000 0.0000 8.3355
ATOMIC_POSITIONS crystal
Tl 0.0000 0.0000 0.0000
Tl 0.5000 0.5000 0.5000
Hg 0.0000 0.5000 0.7500
Hg 0.5000 0.0000 0.2500
Ru 0.0000 0.0000 0.5000
Ru 0.0000 0.5000 0.2500
Ru 0.5000 0.0000 0.7500
Ru 0.5000 0.5000 0.0000
```

Values from the calculation:
- Density: 14.20 Mg/m³
- Total magnetic moment: 1.13 μB/f.u.
- Density of states at the Fermi level: 1.38 states/eV/atom
- SG: I-4m2
- DFT formation energy: 747 meV/atom
- Relative energy among the computed polymorphs: 372 meV per atom

---

VASP calculation (PBE) on a geometry-optimized Tl2HgRu structure. Values from VASP.

```
&SYSTEM
  ibrav = 0, nat = 12, ntyp = 3
/
ATOMIC_SPECIES
Tl 204.38 Tl.upf
Hg 200.59 Hg.upf
Ru 101.07 Ru.upf
CELL_PARAMETERS angstrom
3.3622 0.0000 0.0000
-1.6811 2.9118 0.0000
0.0000 0.0000 28.3173
ATOMIC_POSITIONS crystal
Tl 0.0000 0.0000 0.2389
Tl 0.0000 0.0000 0.7611
Tl 0.3333 0.6667 0.4278
Tl 0.3333 0.6667 0.9055
Tl 0.6667 0.3333 0.0945
Tl 0.6667 0.3333 0.5722
Hg 0.0000 0.0000 0.0000
Hg 0.3333 0.6667 0.6667
Hg 0.6667 0.3333 0.3333
Ru 0.0000 0.0000 0.5000
Ru 0.3333 0.6667 0.1667
Ru 0.6667 0.3333 0.8333
```

Values from the calculation:
- Density: 12.77 Mg/m³
- Total magnetic moment: 0.24 μB/f.u.
- Density of states at the Fermi level: 0.75 states/eV/atom
- SG: R-3m
- DFT formation energy: 457 meV/atom
- Relative energy among the computed polymorphs: 119 meV per atom

---

VASP calculation (PBE) on a geometry-optimized TlHgRu3 structure. Values from VASP.

```
&SYSTEM
  ibrav = 0, nat = 5, ntyp = 3
/
ATOMIC_SPECIES
Tl 204.38 Tl.upf
Hg 200.59 Hg.upf
Ru 101.07 Ru.upf
CELL_PARAMETERS angstrom
4.9957 0.0000 0.0000
0.0000 4.9957 0.0000
0.0000 0.0000 4.9957
ATOMIC_POSITIONS crystal
Tl 0.0000 0.0000 0.0000
Hg 0.5000 0.5000 0.5000
Ru 0.0000 0.5000 0.5000
Ru 0.5000 0.0000 0.5000
Ru 0.5000 0.5000 0.0000
```

Values from the calculation:
- Density: 9.43 Mg/m³
- Total magnetic moment: 5.00 μB/f.u.
- Density of states at the Fermi level: 1.45 states/eV/atom
- SG: Pm-3m
- DFT formation energy: 2091 meV/atom
- Relative energy among the computed polymorphs: 0 meV per atom

---

VASP calculation (PBE) on a geometry-optimized TlHgRu2 structure. Values from VASP.

```
&SYSTEM
  ibrav = 0, nat = 16, ntyp = 3
/
ATOMIC_SPECIES
Tl 204.38 Tl.upf
Hg 200.59 Hg.upf
Ru 101.07 Ru.upf
CELL_PARAMETERS angstrom
7.5487 0.0000 0.0000
0.0000 7.5487 0.0000
0.0000 0.0000 5.4917
ATOMIC_POSITIONS crystal
Tl 0.0000 0.0000 0.0000
Tl 0.0000 0.5000 0.2500
Tl 0.5000 0.0000 0.7500
Tl 0.5000 0.5000 0.5000
Hg 0.0000 0.0000 0.5000
Hg 0.0000 0.5000 0.7500
Hg 0.5000 0.0000 0.2500
Hg 0.5000 0.5000 0.0000
Ru 0.2482 0.2500 0.1250
Ru 0.2500 0.7482 0.3750
Ru 0.2500 0.7518 0.8750
Ru 0.2518 0.2500 0.6250
Ru 0.7482 0.7500 0.6250
Ru 0.7500 0.2482 0.8750
Ru 0.7500 0.2518 0.3750
Ru 0.7518 0.7500 0.1250
```

Values from the calculation:
- Density: 12.89 Mg/m³
- Total magnetic moment: 0.00 μB/f.u.
- Density of states at the Fermi level: 1.72 states/eV/atom
- SG: I-42d
- DFT formation energy: 1054 meV/atom
- Relative energy among the computed polymorphs: 678 meV per atom

---

VASP calculation (PBE) on a geometry-optimized TlHgRu2 structure. Values from VASP.

```
&SYSTEM
  ibrav = 0, nat = 4, ntyp = 3
/
ATOMIC_SPECIES
Tl 204.38 Tl.upf
Hg 200.59 Hg.upf
Ru 101.07 Ru.upf
CELL_PARAMETERS angstrom
2.9977 0.0000 0.0000
0.0000 4.3411 0.0000
-1.3209 0.0000 5.7116
ATOMIC_POSITIONS crystal
Tl 0.0000 0.0000 0.0000
Hg 0.5000 0.0000 0.5000
Ru 0.1150 0.5000 0.7185
Ru 0.8850 0.5000 0.2815
```

Values from the calculation:
- Density: 13.56 Mg/m³
- Total magnetic moment: 0.84 μB/f.u.
- Density of states at the Fermi level: 1.18 states/eV/atom
- SG: P2/m
- DFT formation energy: 728 meV/atom
- Relative energy among the computed polymorphs: 353 meV per atom

---

Question: The lowest DFT formation energy belongs to which entry?
Answer: number 5

---

Question: Among the records above, which one has the highest total magnetic moment?
Answer: TlHgRu3

---

Question: Which of these has the highest total magnetic moment?
Answer: TlHgRu3

---

Question: Among the records above, which one has the highest total magnetic moment?
Answer: TlHgRu3